Record 1
This record from Alexandria describes La7AgI12 after structural relaxation. The functional is PBE.

Cell and atoms, written as extended XYZ:
```
20
Lattice="-7.343 -6.747 -2.122 7.706 -4.987 4.437 -3.709 6.723 6.707" Properties=species:S:1:pos:R:3 pbc="T T T"
La -5.130 -3.861 6.857
La -1.679 -2.522 0.119
La -1.754 1.204 2.161
La -1.673 -2.506 4.511
La -1.593 -6.215 6.862
La -1.668 -2.489 8.903
La 1.784 -1.150 2.165
Ag 0.000 0.000 0.000
I -7.262 -2.585 4.605
I -3.597 -5.271 0.051
I -3.803 -1.360 2.337
I -3.471 -5.212 4.362
I -3.637 2.728 4.479
I -3.560 -0.982 6.678
I 0.214 -4.029 2.345
I 0.290 -7.739 4.544
I 0.124 0.201 4.660
I 0.457 -3.651 6.686
I 0.250 0.260 8.972
I 3.915 -2.426 4.418
```

Values from the calculation:
Total energy (eV per atom): -4.058
SG: R-3, No. 148
M_tot (μB/cell): 0.00

---

Record 2
This record from Alexandria describes LaAgI2 after structural relaxation. The functional is PBE.

Cell and atoms, written as extended XYZ:
```
8
Lattice="7.648 0.000 0.000 0.000 7.648 0.000 3.824 3.824 5.669" Properties=species:S:1:pos:R:3 pbc="T T T"
I 5.435 1.912 1.417
I 2.213 5.736 1.417
I 5.736 6.037 4.252
I 9.560 9.260 4.252
Ag 3.824 3.824 0.000
Ag 3.824 7.648 2.834
La 0.000 0.000 0.000
La 7.648 3.824 2.834
```

Values from the calculation:
Total energy (eV per atom): -3.022
SG: I-42d, No. 122
M_tot (μB/cell): 3.70

---

Record 3
This record from Alexandria describes LaAgI after structural relaxation. The functional is PBE.

Cell and atoms, written as extended XYZ:
```
6
Lattice="4.489 0.000 0.000 2.244 4.249 -0.103 2.244 0.971 11.685" Properties=species:S:1:pos:R:3 pbc="T T T"
La 4.489 2.305 7.739
La 4.489 2.915 3.843
Ag 6.733 3.965 5.742
Ag 2.244 1.256 5.840
I 6.733 3.867 9.693
I 2.244 1.354 1.889
```

Values from the calculation:
Total energy (eV per atom): -3.913
SG: C2/m, No. 12
M_tot (μB/cell): 0.00

---

Record 4
This record from Alexandria describes LaAgI2 after structural relaxation. The functional is PBE.

Cell and atoms, written as extended XYZ:
```
4
Lattice="2.345 -2.967 4.115 -2.805 -0.891 4.751 -1.913 -5.112 1.199" Properties=species:S:1:pos:R:3 pbc="T T T"
I -0.593 -2.243 2.516
I -1.780 -6.728 7.549
Ag 0.000 0.000 0.000
La -1.186 -4.485 5.032
```

Values from the calculation:
Total energy (eV per atom): -3.375
SG: Fm-3m, No. 225
M_tot (μB/cell): 0.00

---

Record 5
This record from Alexandria describes LaAg2I after structural relaxation. The functional is PBE.

Cell and atoms, written as extended XYZ:
```
8
Lattice="8.740 0.000 0.000 0.000 8.740 0.000 4.370 4.370 3.084" Properties=species:S:1:pos:R:3 pbc="T T T"
I 4.370 4.370 0.000
I 4.370 8.740 1.542
Ag 6.507 2.185 0.771
Ag 2.233 6.555 0.771
Ag 6.555 6.603 2.313
Ag 10.925 10.877 2.313
La 0.000 0.000 0.000
La 8.740 4.370 1.542
```

Values from the calculation:
Total energy (eV per atom): -3.261
SG: I-42d, No. 122
M_tot (μB/cell): 0.00

---

Record 6
This record from Alexandria describes LaAg3I after structural relaxation. The functional is PBE.

Cell and atoms, written as extended XYZ:
```
5
Lattice="-4.756 -0.659 3.324 1.486 -5.554 1.025 3.046 1.681 4.691" Properties=species:S:1:pos:R:3 pbc="T T T"
I -0.112 -2.266 4.520
Ag 0.743 -2.777 0.513
Ag 1.523 0.840 2.345
Ag -2.378 -0.330 1.662
La 0.000 0.000 0.000
```

Values from the calculation:
Total energy (eV per atom): -2.244
SG: Pm-3m, No. 221
M_tot (μB/cell): 0.00

---

What is the formula in the third record?
LaAgI